First-principles (PBE-GGA) data for a relaxed structure of Sc3CuRe, as listed in the Alexandria database.

The structure belongs to space group Pm-3m (No. 221); the cell edges are 5.024, 5.024 and 5.024 Å and the angles 90.00°, 90.00° and 90.00°. The inequivalent atoms are Sc at (0.000, 0.000, 0.500), Cu at (0.500, 0.500, 0.500) and Re at (0.000, 0.000, 0.000).

For the spin magnetization, the calculation gives 0.00 μB/f.u. The calculation puts the density of states at the Fermi level at 4.61 states/eV per cell. The excess energy over the best structure of this formula in the dataset is 0 meV/atom.